No. 1
This record from the Open Quantum Materials Database describes a relaxed structure of H12OsC4NO4F. The functional is GGA-PBE.

Unit cell a=6.962 b=7.637 c=7.637 alpha=93.60 beta=90.00 gamma=90.00
Atoms (fractional coordinates):
H  0.013  0.136  0.864
H  0.013  0.364  0.636
H  0.046  0.357  0.086
H  0.046  0.586  0.857
H  0.193  0.021  0.733
H  0.193  0.233  0.521
H  0.210  0.224  0.204
H  0.210  0.704  0.724
H  0.211  0.031  0.967
H  0.211  0.467  0.531
H  0.234  0.457  0.219
H  0.234  0.719  0.957
H  0.766  0.219  0.457
H  0.766  0.957  0.719
H  0.789  0.531  0.467
H  0.789  0.967  0.031
H  0.790  0.204  0.224
H  0.790  0.724  0.704
H  0.807  0.521  0.233
H  0.807  0.733  0.021
H  0.954  0.086  0.357
H  0.954  0.857  0.586
H  0.987  0.636  0.364
H  0.987  0.864  0.136
Os  0.459  0.862  0.362
Os  0.541  0.362  0.862
C  0.112  0.024  0.856
C  0.112  0.356  0.524
C  0.132  0.348  0.204
C  0.132  0.704  0.848
C  0.868  0.204  0.348
C  0.868  0.848  0.704
C  0.888  0.524  0.356
C  0.888  0.856  0.024
N  0.000  0.358  0.358
N  0.000  0.858  0.858
O  0.292  0.350  0.850
O  0.400  0.700  0.200
O  0.428  0.079  0.312
O  0.428  0.812  0.579
O  0.572  0.312  0.079
O  0.572  0.579  0.812
O  0.600  0.200  0.700
O  0.708  0.850  0.350
F  0.154  0.879  0.379
F  0.846  0.379  0.879

Properties
total DFT energy (no corrections): -5.608 eV per atom
magnetization: 0.00 μB per formula unit
calculated density: 2.85 g/cm³

---

No. 2
This record from the Open Quantum Materials Database describes a relaxed structure of ReH11C7NO4F. The functional is GGA-PBE.

Unit cell a=5.624 b=8.899 c=8.905 alpha=90.00 beta=92.21 gamma=90.00
Atoms (fractional coordinates):
Re  0.004  0.000  0.228
Re  0.996  0.500  0.772
H  0.058  0.879  0.796
H  0.084  0.897  0.599
H  0.117  0.139  0.825
H  0.134  0.154  0.625
H  0.261  0.597  0.092
H  0.302  0.646  0.446
H  0.305  0.333  0.100
H  0.403  0.851  0.966
H  0.407  0.727  0.707
H  0.447  0.109  0.980
H  0.485  0.246  0.751
H  0.515  0.746  0.249
H  0.553  0.609  0.020
H  0.593  0.227  0.293
H  0.597  0.351  0.034
H  0.695  0.833  0.900
H  0.698  0.146  0.554
H  0.739  0.097  0.908
H  0.866  0.654  0.375
H  0.883  0.639  0.175
H  0.916  0.397  0.401
H  0.942  0.379  0.204
C  0.169  0.924  0.708
C  0.199  0.094  0.725
C  0.406  0.570  0.380
C  0.417  0.849  0.723
C  0.434  0.422  0.389
C  0.446  0.561  0.108
C  0.476  0.390  0.120
C  0.524  0.890  0.880
C  0.554  0.061  0.892
C  0.566  0.922  0.611
C  0.583  0.349  0.277
C  0.594  0.070  0.620
C  0.801  0.594  0.275
C  0.831  0.424  0.292
N  0.462  0.130  0.745
N  0.538  0.630  0.255
O  0.004  0.608  0.608
O  0.078  0.116  0.077
O  0.214  0.856  0.253
O  0.278  0.423  0.811
O  0.722  0.923  0.189
O  0.786  0.356  0.747
O  0.922  0.616  0.923
O  0.996  0.108  0.392
F  0.331  0.338  0.495
F  0.669  0.838  0.505

Properties
total DFT energy (no corrections): -6.226 eV per atom
magnetization: 0.00 μB per formula unit
calculated density: 2.82 g/cm³